# 1
Computed, not measured: Tm5TlHg2 after structural relaxation at the PBE-GGA level of DFT.

It has space group I4/mcm (No. 140), with a = 8.160 Å, b = 8.160 Å, c = 12.956 Å, α = 90.00°, β = 90.00° and γ = 90.00°. Symmetry generates all atoms from Tm at (0.000, 0.000, 0.000), Tm at (0.153, 0.347, 0.150), Tl at (0.000, 0.000, 0.250) and Hg at (0.141, 0.359, 0.500).

The calculation puts the formation energy at -0.3312 eV per atom.

# 2
Computed, not measured: Cs4La3HfS8 after structural relaxation at the PBE-GGA level of DFT.

It has space group R-3m (No. 166, hexagonal axes), with a = 8.4030 Å, b = 8.4030 Å, c = 24.2390 Å, α = 90.00°, β = 90.00° and γ = 120.00°. Symmetry generates all atoms from Cs at (0.0000, 0.0000, 0.0000), Cs at (0.0000, 0.5000, 0.0000), La at (0.0000, 0.5000, 0.5000), Hf at (0.0000, 0.0000, 0.5000), S at (0.0000, 0.0000, 0.2311) and S at (0.0305, 0.5153, 0.2267).

Its uncorrected formation energy is -1.73 eV per atom.